Mn3CuNi | PBE | relaxed

Cell and atoms, written as POSCAR:
```
Mn3CuNi
1.0
4.489 0.000 0.000
0.000 4.489 0.000
0.000 0.000 4.489
Mn Cu Ni
3 1 1
Direct
0.000 0.000 0.500 Mn
0.000 0.500 0.000 Mn
0.500 0.000 0.000 Mn
0.500 0.500 0.500 Cu
0.000 0.000 0.000 Ni
```

Output
Space group   No. 221
Formation energy   906 meV per atom
Density   5.27 Mg/m³